Here is an optimized crystal structure of Tb2GeSe4 from the Alexandria database. Energies are from PBE.

Cell lengths 6.363, 6.363, 12.330 Å; angles 90.00, 90.00, 90.00 degrees
Space group I-42m (No. 121)
One atom of each set of equivalent atoms:
1 Tb 0.000 0.500 0.250
2 Ge 0.000 0.000 0.000
3 Se 0.248 0.248 0.621

Properties
The total energy is -5.0816 eV per atom. The magnetization is 0.00 μB per formula unit. The volume is 499.14 Å³/cell.


Here is an optimized crystal structure of Tb2PmNdEr4 from the Alexandria database. Energies are from PBE.

Cell lengths 6.797, 11.771, 13.250 Å; angles 90.00, 90.00, 90.00 degrees
Space group Imma (No. 74)
One atom of each set of equivalent atoms:
1 Tb 0.000 0.000 0.000
2 Tb 0.250 0.250 0.250
3 Pm 0.000 0.000 0.500
4 Nd 0.250 0.250 0.750
5 Er 0.000 0.003 0.249
6 Er 0.249 0.250 0.002

Properties
Its formation energy is 3.44 eV per formula unit. The total energy is -4.1991 eV per atom. The magnetization is 3.10 μB per formula unit. The volume is 1060.09 Å³/cell.


Here is an optimized crystal structure of CeSbI from the Alexandria database. Energies are from PBE.

Cell lengths 4.096, 4.096, 10.549 Å; angles 90.00, 90.00, 90.00 degrees
Space group I4mm (No. 107)
One atom of each set of equivalent atoms:
1 Ce 0.000 0.000 0.000
2 Sb 0.000 0.000 0.644
3 I 0.000 0.000 0.335

Properties
Its distance to the lowest polymorph of the same formula is 0 meV/atom. The total energy is -4.6034 eV per atom. The magnetization is 0.26 μB per formula unit. The volume is 176.97 Å³/cell.


Here is an optimized crystal structure of InRhPb2 from the Alexandria database. Energies are from PBE.

Cell lengths 3.392, 4.490, 13.057 Å; angles 90.00, 90.00, 90.00 degrees
Space group Amm2 (No. 38)
One atom of each set of equivalent atoms:
1 In 0.000 0.000 0.000
2 Rh 0.500 0.000 0.833
3 Pb 0.000 0.000 0.298
4 Pb 0.500 0.000 0.618

Properties
Its formation energy is -0.07 eV per formula unit. The total energy is -4.3930 eV per atom. The magnetization is 0.00 μB per formula unit. The volume is 198.87 Å³/cell.


Here is an optimized crystal structure of Ac2SmAs2Se2 from the Alexandria database. Energies are from PBE.

Cell lengths 5.383, 5.383, 15.880 Å; angles 90.00, 90.00, 90.00 degrees
Space group I4/mmm (No. 139)
One atom of each set of equivalent atoms:
1 Ac 0.000 0.000 0.129
2 Sm 0.000 0.000 0.500
3 As 0.000 0.500 0.000
4 Se 0.000 0.000 0.317

Properties
The total energy is -5.4691 eV per atom. The magnetization is 0.00 μB per formula unit. The volume is 460.23 Å³/cell.


Here is an optimized crystal structure of Er3PS2 from the Alexandria database. Energies are from PBE.

Cell lengths 3.896, 5.501, 11.757 Å; angles 90.00, 90.00, 90.00 degrees
Space group Immm (No. 71)
One atom of each set of equivalent atoms:
1 Er 0.000 0.000 0.000
2 Er 0.000 0.000 0.339
3 P 0.000 0.500 0.000
4 S 0.000 0.500 0.332

Properties
The total energy is -6.4632 eV per atom. The magnetization is 0.00 μB per formula unit. The volume is 251.98 Å³/cell.


Here is an optimized crystal structure of MoIr2Br from the Alexandria database. Energies are from PBE.

Cell lengths 9.813, 2.883, 4.553 Å; angles 90.00, 92.55, 90.00 degrees
Space group C2/m (No. 12)
One atom of each set of equivalent atoms:
1 Mo 0.000 0.000 0.000
2 Ir 0.226 0.500 0.236
3 Br 0.000 0.500 0.500

Properties
Its distance to the lowest polymorph of the same formula is 228 meV/atom. The total energy is -6.9708 eV per atom. The magnetization is 0.00 μB per formula unit. The volume is 128.70 Å³/cell.


Here is an optimized crystal structure of PrYSc2S4 from the Alexandria database. Energies are from PBE.

Cell lengths 6.652, 3.804, 6.770 Å; angles 90.00, 108.84, 90.00 degrees
Space group P2/m (No. 10)
One atom of each set of equivalent atoms:
1 Pr 0.000 0.000 0.000
2 Y 0.500 0.500 0.000
3 Sc 0.000 0.500 0.500
4 Sc 0.500 0.000 0.500
5 S 0.250 0.000 0.727
6 S 0.267 0.500 0.278

Properties
The total energy is -6.9653 eV per atom. The magnetization is 0.00 μB per formula unit. The volume is 162.16 Å³/cell.


Q: Which value of volume does entry 3 give?
A: 176.97 Å³/cell


Q: Among the records above, which one has the highest volume?
A: Tb2PmNdEr4


Q: Among the records above, which one has the lowest volume?
A: MoIr2Br